No. 1
{"formula": "CdBiW2", "functional": "GGA-PBE", "state": "relaxed", "cell": [[4.0825, 0.0000, 0.0000], [0.0000, 4.0825, 0.0000], [2.0412, 2.0412, 10.3028]], "species": ["Bi", "Bi", "W", "W", "W", "W", "Cd", "Cd"], "frac_coords": [[0.0000, 0.0000, 0.0000], [0.7500, 0.2500, 0.5000], [0.5729, 0.1250, 0.2500], [0.1771, 0.6250, 0.2500], [0.3750, 0.4271, 0.7500], [0.8750, 0.8229, 0.7500], [0.5000, 0.5000, 0.0000], [0.2500, 0.7500, 0.5000]], "spacegroup": "I-42d (122)", "magmom_total_mub_per_fu": 0.00, "e_form_ev_per_atom": 1.102, "e_above_lowest_polymorph_mev_per_atom": 0}



No. 2
{"formula": "Al2InAg", "functional": "GGA-PBE", "state": "relaxed", "cell": [[-1.9237, -3.3777, -1.8212], [3.7970, -1.3805, -1.4505], [0.5479, -2.2295, 3.5563]], "species": ["Al", "Al", "Ag", "In"], "frac_coords": [[0.0000, 0.0000, 0.0000], [0.5000, 0.5000, 0.0000], [0.0000, 0.5000, 0.5000], [0.5000, 0.0000, 0.5000]], "spacegroup": "P4/mmm (123)", "magmom_total_mub_per_fu": 0.00, "e_form_ev_per_atom": 0.150}